First-principles (PBE-GGA) data for a relaxed TiTl2S8 crystal, as listed in Alexandria.

a = 6.054 Å, b = 6.147 Å, c = 8.451 Å
α = 78.88°, β = 71.44°, γ = 92.34°
Each line ends with the local moment (μB).
Fractional positions:
Ti 0.000 0.000 0.000  0.20
Tl 0.458 0.327 0.237  0.00
Tl 0.542 0.673 0.763  0.00
S 0.963 0.734 0.372  0.01
S 0.951 0.073 0.289  -0.01
S 0.037 0.266 0.628  0.01
S 0.002 0.381 0.849  -0.01
S 0.049 0.927 0.711  -0.01
S 0.430 0.092 0.914  -0.01
S 0.570 0.908 0.086  -0.01
S 0.998 0.619 0.151  -0.01

**Uncorrected energy**: -49.28 eV/cell
**Raw formation energy**: -3.630 eV/f.u.
**Density of states at the Fermi level**: 3.57 states/eV/f.u.
**Density**: 4.1 g/cm³
**Space group**: No. 2